Record 1
Material: TmAlPd6
Method: DFT, GGA-PBE
State: relaxed

Structure (extended XYZ):
```
16
Lattice="8.009 0.000 0.000 0.000 5.401 0.000 -2.754 0.000 6.795" Properties=species:S:1:pos:R:3 pbc="T T T"
Tm 0.000 0.000 0.000
Tm 4.005 2.700 0.000
Al -1.377 2.700 3.397
Al 2.627 0.000 3.397
Pd 0.038 0.000 3.020
Pd -0.702 1.316 5.366
Pd -0.702 4.085 5.366
Pd 1.952 1.384 1.428
Pd 1.952 4.017 1.428
Pd 1.212 2.700 3.774
Pd 4.043 2.700 3.020
Pd 3.302 1.384 5.366
Pd 3.302 4.017 5.366
Pd 5.957 1.316 1.428
Pd 5.957 4.085 1.428
Pd 5.216 0.000 3.774
```

Summary:
For the calculated formation energy, the calculation gives -0.448 eV/atom. The total moment comes out at 0.00 μB/f.u. The value obtained for the energy above the most stable polymorph in this dataset is 0.307 eV per atom. The space group is C2/m, No. 12.

Record 2
Material: Tm2Al5Pd
Method: DFT, GGA-PBE
State: relaxed

Structure (extended XYZ):
```
8
Lattice="0.000 4.205 4.224 4.195 0.000 4.224 4.195 4.205 0.000" Properties=species:S:1:pos:R:3 pbc="T T T"
Tm 2.098 2.102 0.000
Tm 2.098 2.102 4.224
Al 0.000 0.000 0.000
Al 2.098 0.000 2.112
Al 4.195 2.102 2.112
Al 0.000 2.102 2.112
Al 2.098 4.205 2.112
Pd 4.195 4.205 4.224
```

Summary:
For the calculated formation energy, the calculation gives -0.499 eV/atom. The total moment comes out at 0.00 μB/f.u. The space group is Fmmm, No. 69.

Record 3
Material: Tm4AlPd
Method: DFT, GGA-PBE
State: relaxed

Structure (extended XYZ):
```
24
Lattice="0.000 6.691 6.691 6.691 0.000 6.691 6.691 6.691 0.000" Properties=species:S:1:pos:R:3 pbc="T T T"
Tm 3.345 3.345 0.781
Tm 3.345 0.781 3.345
Tm 5.909 3.345 3.345
Tm 8.119 5.262 5.262
Tm 6.691 6.691 2.468
Tm 6.691 2.468 6.691
Tm 10.913 6.691 6.691
Tm 0.781 3.345 3.345
Tm 3.345 5.909 3.345
Tm 3.345 3.345 5.909
Tm 5.262 8.119 5.262
Tm 5.262 5.262 8.119
Tm 8.119 8.119 8.119
Tm 2.468 6.691 6.691
Tm 6.691 10.913 6.691
Tm 6.691 6.691 10.913
Al 11.087 8.985 8.985
Al 8.985 11.087 8.985
Al 8.985 8.985 11.087
Al 11.087 11.087 11.087
Pd 5.291 5.291 5.291
Pd 8.090 8.090 5.291
Pd 8.090 5.291 8.090
Pd 5.291 8.090 8.090
```

Summary:
For the calculated formation energy, the calculation gives -0.503 eV/atom. The total moment comes out at 0.00 μB/f.u. The value obtained for the energy above the most stable polymorph in this dataset is 0.000 eV per atom. The space group is F-43m, No. 216.

Record 4
Material: TmAlPd6
Method: DFT, GGA-PBE
State: relaxed

Structure (extended XYZ):
```
8
Lattice="4.030 0.000 0.000 0.000 4.030 0.000 0.000 0.000 7.906" Properties=species:S:1:pos:R:3 pbc="T T T"
Tm 0.000 0.000 0.000
Al 0.000 0.000 3.953
Pd 0.000 2.015 2.103
Pd 0.000 2.015 5.804
Pd 2.015 0.000 2.103
Pd 2.015 0.000 5.804
Pd 2.015 2.015 0.000
Pd 2.015 2.015 3.953
```

Summary:
For the calculated formation energy, the calculation gives -0.755 eV/atom. The total moment comes out at 0.00 μB/f.u. The value obtained for the energy above the most stable polymorph in this dataset is 0.000 eV per atom. The space group is P4/mmm, No. 123.

Record 5
Material: Tm3Al7Pd4
Method: DFT, GGA-PBE
State: relaxed

Structure (extended XYZ):
```
14
Lattice="7.786 -2.127 0.000 7.786 2.127 0.000 -5.370 0.000 7.699" Properties=species:S:1:pos:R:3 pbc="T T T"
Tm 0.000 0.000 0.000
Tm 3.140 0.000 2.347
Tm 7.062 0.000 5.352
Al -2.685 0.000 3.850
Al 0.078 0.000 3.243
Al -0.268 0.000 7.505
Al 3.935 0.000 5.414
Al 6.266 0.000 2.285
Al 10.470 0.000 0.194
Al 10.124 0.000 4.456
Pd -2.680 0.000 6.465
Pd 1.402 0.000 5.523
Pd 8.800 0.000 2.176
Pd 12.881 0.000 1.234
```

Summary:
For the calculated formation energy, the calculation gives -0.790 eV/atom. The total moment comes out at 0.00 μB/f.u. The space group is C2/m, No. 12.

Record 6
Material: Tm5Al4Pd
Method: DFT, GGA-PBE
State: relaxed

Structure (extended XYZ):
```
10
Lattice="3.540 0.000 0.000 0.000 3.540 0.000 0.000 0.000 17.594" Properties=species:S:1:pos:R:3 pbc="T T T"
Tm 0.000 0.000 0.000
Tm 0.000 0.000 3.558
Tm 0.000 0.000 7.140
Tm 0.000 0.000 10.454
Tm 0.000 0.000 14.036
Al 1.770 1.770 1.773
Al 1.770 1.770 5.326
Al 1.770 1.770 12.268
Al 1.770 1.770 15.821
Pd 1.770 1.770 8.797
```

Summary:
For the calculated formation energy, the calculation gives -0.505 eV/atom. The total moment comes out at 0.00 μB/f.u. The space group is P4/mmm, No. 123.

Record 7
Material: Tm3Al8Pd3
Method: DFT, GGA-PBE
State: relaxed

Structure (extended XYZ):
```
14
Lattice="7.780 -2.185 0.000 7.780 2.185 0.000 -5.488 0.000 7.515" Properties=species:S:1:pos:R:3 pbc="T T T"
Tm 0.000 0.000 0.000
Tm 2.852 0.000 2.188
Tm 7.219 0.000 5.327
Al -0.207 0.000 3.208
Al -2.429 0.000 6.503
Al 1.483 0.000 5.411
Al 5.910 0.000 2.477
Al 4.161 0.000 5.038
Al 8.588 0.000 2.104
Al 12.501 0.000 1.011
Al 10.279 0.000 4.306
Pd -2.744 0.000 3.757
Pd 0.029 0.000 7.476
Pd 10.043 0.000 0.039
```

Summary:
For the calculated formation energy, the calculation gives -0.690 eV/atom. The total moment comes out at 0.00 μB/f.u. The space group is C2/m, No. 12.

Record 8
Material: Tm6Al2Pd
Method: DFT, GGA-PBE
State: relaxed

Structure (extended XYZ):
```
9
Lattice="-2.444 3.521 7.367 2.444 -3.521 7.367 2.444 3.521 -7.367" Properties=species:S:1:pos:R:3 pbc="T T T"
Tm 2.444 1.714 -2.387
Tm 0.000 1.685 0.000
Tm 2.444 1.714 2.387
Tm 0.000 1.807 4.980
Tm 0.000 5.356 0.000
Tm 0.000 1.807 9.754
Al 2.444 0.000 4.911
Al 0.000 3.521 2.456
Pd 2.444 0.000 0.000
```

Summary:
For the calculated formation energy, the calculation gives -0.194 eV/atom. The total moment comes out at 0.00 μB/f.u. The value obtained for the energy above the most stable polymorph in this dataset is 0.154 eV per atom. The space group is Immm, No. 71.

Record 9
Material: TmAl3Pd4
Method: DFT, GGA-PBE
State: relaxed

Structure (extended XYZ):
```
8
Lattice="2.177 1.257 8.079 -2.177 1.257 8.079 0.000 -2.514 8.079" Properties=species:S:1:pos:R:3 pbc="T T T"
Tm 0.000 0.000 0.000
Al 0.000 0.000 5.917
Al 0.000 0.000 12.119
Al 0.000 0.000 18.321
Pd 0.000 0.000 3.191
Pd 0.000 0.000 9.640
Pd 0.000 0.000 14.597
Pd 0.000 0.000 21.047
```

Summary:
For the calculated formation energy, the calculation gives -0.882 eV/atom. The total moment comes out at 0.00 μB/f.u. The space group is R-3m, No. 166.

Record 10
Material: TmAl2Pd8
Method: DFT, GGA-PBE
State: relaxed

Structure (extended XYZ):
```
11
Lattice="3.688 -5.677 0.000 3.688 5.677 0.000 -1.609 0.000 4.341" Properties=species:S:1:pos:R:3 pbc="T T T"
Tm 0.000 0.000 0.000
Al 2.883 2.128 2.171
Al 2.883 -2.128 2.171
Pd 0.526 1.389 2.623
Pd 3.688 2.969 0.000
Pd 0.526 -1.389 2.623
Pd 2.638 0.000 0.821
Pd 3.129 0.000 3.521
Pd 5.240 1.389 1.719
Pd 3.688 -2.969 0.000
Pd 5.240 -1.389 1.719
```

Summary:
For the calculated formation energy, the calculation gives -0.649 eV/atom. The total moment comes out at 0.00 μB/f.u. The space group is C2/m, No. 12.

Record 11
Material: TmAl3Pd2
Method: DFT, GGA-PBE
State: relaxed

Structure (extended XYZ):
```
12
Lattice="4.699 -4.114 0.000 4.699 4.114 0.000 0.000 0.000 5.546" Properties=species:S:1:pos:R:3 pbc="T T T"
Tm 4.699 2.922 4.159
Tm 4.699 -2.922 1.386
Al 3.167 2.278 1.386
Al 6.232 2.278 1.386
Al 4.699 0.164 1.386
Al 4.699 -0.164 4.159
Al 3.167 -2.278 4.159
Al 6.232 -2.278 4.159
Pd 2.560 0.000 0.000
Pd 2.560 0.000 2.773
Pd 6.839 0.000 0.000
Pd 6.839 0.000 2.773
```

Summary:
For the calculated formation energy, the calculation gives -0.742 eV/atom. The total moment comes out at 0.00 μB/f.u. The space group is Cmcm, No. 63.

Record 12
Material: TmAl12Pd4
Method: DFT, GGA-PBE
State: relaxed

Structure (extended XYZ):
```
17
Lattice="-4.378 4.378 4.378 4.378 -4.378 4.378 4.378 4.378 -4.378" Properties=species:S:1:pos:R:3 pbc="T T T"
Tm 0.000 0.000 0.000
Al 2.982 1.366 0.000
Al 5.775 1.366 0.000
Al 4.378 -1.396 3.012
Al 3.012 4.378 -1.396
Al 1.366 0.000 2.982
Al 0.000 2.982 1.366
Al 4.378 1.396 3.012
Al 3.012 4.378 1.396
Al 1.366 0.000 5.775
Al 0.000 5.775 1.366
Al -1.396 3.012 4.378
Al 1.396 3.012 4.378
Pd 2.189 2.189 -2.189
Pd 2.189 -2.189 2.189
Pd -2.189 2.189 2.189
Pd 2.189 2.189 2.189
```

Summary:
For the calculated formation energy, the calculation gives -0.174 eV/atom. The total moment comes out at 0.00 μB/f.u. The space group is Im-3, No. 204.

What is the formula in the eighth record? Tm6Al2Pd

What did the second record say?
Material: Tm2Al5Pd
Method: DFT, GGA-PBE
State: relaxed

Structure (extended XYZ):
```
8
Lattice="0.000 4.205 4.224 4.195 0.000 4.224 4.195 4.205 0.000" Properties=species:S:1:pos:R:3 pbc="T T T"
Tm 2.098 2.102 0.000
Tm 2.098 2.102 4.224
Al 0.000 0.000 0.000
Al 2.098 0.000 2.112
Al 4.195 2.102 2.112
Al 0.000 2.102 2.112
Al 2.098 4.205 2.112
Pd 4.195 4.205 4.224
```

Summary:
For the calculated formation energy, the calculation gives -0.499 eV/atom. The total moment comes out at 0.00 μB/f.u. The space group is Fmmm, No. 69.

calculated formation energy of number 12 (TmAl12Pd4)? -0.174 eV/atom